No. 1
A plane-wave DFT calculation with PBE was carried out for a geometry-optimized PmAlPb structure.

Geometry as POSCAR:
```
PmAlPb
1.0
0.0000 3.5024 3.5024
3.5024 0.0000 3.5024
3.5024 3.5024 0.0000
Pm Al Pb
1 1 1
direct
0.0000 0.0000 0.0000 Pm
0.7500 0.7500 0.7500 Al
0.5000 0.5000 0.5000 Pb
```

Summary:
* excess energy over the best structure of this formula in the dataset: 0.0 meV per atom
* space group: F-43m, No. 216

No. 2
A plane-wave DFT calculation with PBE was carried out for a geometry-optimized PrAlPbSe3 structure.

Geometry as POSCAR:
```
PrAlPbSe3
1.0
2.1331 -6.8505 0.0000
2.1331 6.8505 0.0000
0.0000 0.0000 11.2771
Pr Al Pb Se
2 2 2 6
direct
0.0000 0.0000 0.0000 Pr
0.0000 0.0000 0.5000 Pr
0.4640 0.5360 0.7500 Al
0.5360 0.4640 0.2500 Al
0.2240 0.7760 0.2500 Pb
0.7760 0.2240 0.7500 Pb
0.0755 0.9245 0.7500 Se
0.3538 0.6462 0.5682 Se
0.3538 0.6462 0.9318 Se
0.6462 0.3538 0.0682 Se
0.6462 0.3538 0.4318 Se
0.9245 0.0755 0.2500 Se
```

Summary:
* space group: Cmcm, No. 63

Calculated density (g/cm³)
7.328, 6.167
Electronic total energy (eV per formula unit)
-12.45, -27.69